Here is Y2SnMoF after structural relaxation from Alexandria via LeMat-Bulk. Energies are from GGA+U. Values from VASP.

Cell and atoms, written as Quantum ESPRESSO input:
```
&SYSTEM
  ibrav = 0, nat = 5, ntyp = 4
/
ATOMIC_SPECIES
Y 88.91 Y.upf
Mo 95.94 Mo.upf
Sn 118.71 Sn.upf
F 19.00 F.upf
CELL_PARAMETERS angstrom
-2.540 -1.995 3.296
4.433 -2.754 1.749
1.015 3.461 2.877
ATOMIC_POSITIONS crystal
Y 0.000 0.000 0.500
Y 0.500 0.000 0.000
Mo 0.500 0.500 0.500
Sn 0.000 0.500 0.000
F 0.000 0.000 0.000
```

Summary:
ρ = 5.83 g/cm³
VASP energy = -5.78 eV per atom
Magnetization = 2.91 μB/f.u.
Symmetry = No. 123